Here is HfAs2IrSe after structural relaxation from Alexandria via LeMat-Bulk. Energies are from PBE-GGA.

Computed properties:
Fermi-level density of states = 4.7 states/eV per cell
calculated density = 7.743 g/cm3
size of the total moment = 0.201 μB per atom
ΔE to the lowest computed polymorph = 0.3999 eV per atom
electronic total energy = -5.391 eV per atom
V = 128.6 Å³/cell

Cell lengths 5.087, 5.087, 4.967 Å; angles 90.00, 90.00, 90.00 degrees
Site moments in Bohr magnetons follow the coordinates.
Fractional positions:
As  0.000  0.500  0.000  -0.04
As  0.500  0.000  0.000  -0.04
Ir  0.500  0.500  0.500  1.05
Hf  0.000  0.000  0.000  0.04
Se  0.000  0.000  0.500  0.01